The following is a GGA-PBE calculation of a relaxed structure of Ba3Tl2Sn2Hg4, from the Alexandria database.

Formation enthalpy at 0 K, kJ/mol of formula units: -431.5
Symmetry: No. 164
M_tot, μB per formula unit: 0.0
DOS(E_F), states/eV/cell: 5.7

Cell lengths 5.0032, 5.0032, 17.8800 Å; angles 90.00, 90.00, 120.00 degrees
With the nearest neighbours (Å) after each atom.
Positions (direct):
Sn  0.6667  0.3333  0.8613  3 Hg 2.90
Ba  0.0000  0.0000  0.0000  6 Hg 3.68, 6 Sn 3.81
Ba  0.0000  0.0000  0.2669  6 Hg 3.54-3.82, 3 Sn 3.69
Ba  0.0000  0.0000  0.7331  6 Hg 3.54-3.82, 3 Sn 3.69
Hg  0.6667  0.3333  0.1274  3 Sn 2.90
Hg  0.3333  0.6667  0.3811  4 Tl 3.10-3.13
Hg  0.6667  0.3333  0.6189  4 Tl 3.10-3.13
Tl  0.6667  0.3333  0.4438  4 Hg 3.10-3.13
Sn  0.3333  0.6667  0.1387  3 Hg 2.90
Tl  0.3333  0.6667  0.5562  4 Hg 3.10-3.13
Hg  0.3333  0.6667  0.8726  3 Sn 2.90